Material: ZrTcMoF
Method: DFT, PBE with a Hubbard U
State: optimized geometry

Lattice parameters (Å, degrees): 3.4459 3.0893 11.9491 90.00 90.00 90.00
With the nearest neighbours (Å) after each atom.
Fractional positions:
Mo  0.5000  0.0000  0.5367  1 F 2.25
Mo  0.5000  0.5000  0.0367  1 F 2.25
Tc  0.0000  0.0000  0.1383  4 Mo 2.61
Tc  0.0000  0.5000  0.6383  4 Mo 2.61
Zr  0.0000  0.0000  0.8492  4 F 2.31
Zr  0.0000  0.5000  0.3492  4 F 2.31
F  0.5000  0.0000  0.3487  1 Mo 2.25, 4 Zr 2.31
F  0.5000  0.5000  0.8487  1 Mo 2.25, 4 Zr 2.31

Properties
spin magnetization	0.0003	μB per atom
final energy	-28.5	eV per formula unit
symmetry	No. 38